--- 1 ---
# Cr3SiI PBE-GGA optimized geometry
# ρ: 5.3 g/cm3
# Calculated volume: 19.6 Å³ per atom
# Density of states at the Fermi level: 11.54 states/eV/f.u.
data_Cr3SiI
_chemical_formula_sum 'Cr3 Si1 I1'
_cell_length_a 4.613
_cell_length_b 4.613
_cell_length_c 4.613
_cell_angle_alpha 90.00
_cell_angle_beta 90.00
_cell_angle_gamma 90.00
_space_group_name_H-M_alt 'P 1'
_space_group_IT_number 1
_space_group_name_Hall 'P 1'
loop_
_atom_site_label
_atom_site_fract_x
_atom_site_fract_y
_atom_site_fract_z
I1 0.000 0.000 0.000
Cr1 0.500 0.000 0.000
Si1 0.500 0.500 0.500
Cr2 0.000 0.000 0.500
Cr3 0.000 0.500 0.000

***

--- 2 ---
# Cr3SiI PBE-GGA optimized geometry
# ρ: 4.5 g/cm3
# Calculated volume: 23.2 Å³ per atom
# Density of states at the Fermi level: 2.35 states/eV/f.u.
data_Cr3SiI
_chemical_formula_sum 'Cr3 Si1 I1'
_cell_length_a 4.874
_cell_length_b 4.874
_cell_length_c 4.874
_cell_angle_alpha 90.00
_cell_angle_beta 90.00
_cell_angle_gamma 90.00
_space_group_name_H-M_alt 'P 1'
_space_group_IT_number 1
_space_group_name_Hall 'P 1'
loop_
_atom_site_label
_atom_site_fract_x
_atom_site_fract_y
_atom_site_fract_z
Cr1 0.000 0.500 0.000
Cr2 0.500 0.000 0.000
I1 0.500 0.500 0.500
Cr3 0.000 0.000 0.500
Si1 0.000 0.000 0.000

***

Which of them is least stable? Easy: 1.

***

--- 1 ---
# CrSi2I PBE-GGA optimized geometry
# ρ: 4.1 g/cm3
# Calculated volume: 23.7 Å³ per atom
# Density of states at the Fermi level: 2.96 states/eV/f.u.
data_CrSi2I
_chemical_formula_sum 'Cr2 Si4 I2'
_cell_length_a 4.766
_cell_length_b 4.766
_cell_length_c 8.994
_cell_angle_alpha 74.63
_cell_angle_beta 74.63
_cell_angle_gamma 90.00
_space_group_name_H-M_alt 'P 1'
_space_group_IT_number 1
_space_group_name_Hall 'P 1'
loop_
_atom_site_label
_atom_site_fract_x
_atom_site_fract_y
_atom_site_fract_z
Si1 0.375 0.589 0.750
Cr1 0.500 0.500 0.000
Si2 0.339 0.625 0.250
I1 0.000 0.000 0.000
I2 0.750 0.250 0.500
Si3 0.411 0.125 0.250
Si4 0.875 0.661 0.750
Cr2 0.250 0.750 0.500

***

--- 2 ---
# CrSi2I PBE-GGA optimized geometry
# ρ: 5.7 g/cm3
# Calculated volume: 17.0 Å³ per atom
# Density of states at the Fermi level: 3.35 states/eV/f.u.
data_CrSi2I
_chemical_formula_sum 'Cr1 Si2 I1'
_cell_length_a 4.584
_cell_length_b 4.584
_cell_length_c 4.584
_cell_angle_alpha 60.00
_cell_angle_beta 60.00
_cell_angle_gamma 60.00
_space_group_name_H-M_alt 'P 1'
_space_group_IT_number 1
_space_group_name_Hall 'P 1'
loop_
_atom_site_label
_atom_site_fract_x
_atom_site_fract_y
_atom_site_fract_z
Si1 0.750 0.750 0.750
Cr1 0.000 0.000 0.000
I1 0.500 0.500 0.500
Si2 0.250 0.250 0.250

***

Which of them is least stable? Easy: 2.

***

--- 1 ---
# Cr2SiI PBE-GGA optimized geometry
# ρ: 7.3 g/cm3
# Calculated volume: 14.6 Å³ per atom
# Density of states at the Fermi level: 4.80 states/eV/f.u.
data_Cr2SiI
_chemical_formula_sum 'Cr2 Si1 I1'
_cell_length_a 4.358
_cell_length_b 4.358
_cell_length_c 4.358
_cell_angle_alpha 60.00
_cell_angle_beta 60.00
_cell_angle_gamma 60.00
_space_group_name_H-M_alt 'P 1'
_space_group_IT_number 1
_space_group_name_Hall 'P 1'
loop_
_atom_site_label
_atom_site_fract_x
_atom_site_fract_y
_atom_site_fract_z
I1 0.500 0.500 0.500
Si1 0.000 0.000 0.000
Cr1 0.750 0.750 0.750
Cr2 0.250 0.250 0.250

***

--- 2 ---
# Cr2SiI PBE-GGA optimized geometry
# ρ: 4.1 g/cm3
# Calculated volume: 26.0 Å³ per atom
# Density of states at the Fermi level: 1.02 states/eV/f.u.
data_Cr2SiI
_chemical_formula_sum 'Cr4 Si2 I2'
_cell_length_a 5.643
_cell_length_b 5.643
_cell_length_c 7.664
_cell_angle_alpha 68.40
_cell_angle_beta 68.40
_cell_angle_gamma 90.00
_space_group_name_H-M_alt 'P 1'
_space_group_IT_number 1
_space_group_name_Hall 'P 1'
loop_
_atom_site_label
_atom_site_fract_x
_atom_site_fract_y
_atom_site_fract_z
Cr1 0.187 0.625 0.250
I1 0.000 0.000 0.000
Cr2 0.875 0.813 0.750
Si1 0.500 0.500 0.000
Cr3 0.563 0.125 0.250
Cr4 0.375 0.437 0.750
Si2 0.250 0.750 0.500
I2 0.750 0.250 0.500

***

Which of them is least stable? Easy: 1.